(1)
Below is a crystal of NdMg12 relaxed with PBEsol, with properties calculated at the meta-GGA SCAN level.

calculated volume	306.1	Å³/cell
energy relative to the elements	-0.043	eV per atom

Cell lengths 5.829, 7.810, 7.810 Å; angles 82.00, 68.09, 68.09 degrees
Sites, in units of the cell vectors:
Nd1 0.000 0.000 0.000
Mg1 0.289 0.211 0.211
Mg2 0.000 0.648 0.352
Mg3 0.352 0.648 0.648
Mg4 0.648 0.352 0.352
Mg5 0.500 0.789 0.211
Mg6 0.000 0.000 0.500
Mg7 0.711 0.789 0.789
Mg8 0.000 0.500 0.000
Mg9 0.000 0.352 0.648
Mg10 0.500 0.211 0.789
Mg11 0.500 0.500 0.000
Mg12 0.500 0.000 0.500

=====

(2)
Below is a crystal of Mo2RhAu relaxed with PBEsol, with properties calculated at the meta-GGA SCAN level.

calculated volume	59.8	Å³/cell
offset from the most stable computed form	0.00	eV per formula unit
energy relative to the elements	-0.030	eV per atom

Cell lengths 2.750, 4.443, 4.892 Å; angles 90.00, 90.00, 90.00 degrees
Sites, in units of the cell vectors:
Au1 0.500 0.500 0.215
Mo1 0.000 0.000 0.031
Mo2 0.000 0.500 0.711
Rh1 0.500 0.000 0.543

=====

(3)
Below is a crystal of La2CrCl relaxed with PBEsol, with properties calculated at the meta-GGA SCAN level.

calculated volume	92.3	Å³/cell
offset from the most stable computed form	0.31	eV per formula unit
ΔE_f (raw)	-2.30	eV/f.u.

Cell lengths 3.383, 4.939, 5.778 Å; angles 90.00, 107.02, 90.00 degrees
Last column: magnetic moment on the atom in μB.
Sites, in units of the cell vectors:
Cr1 0.238 0.500 0.477  3.07
Cl1 0.492 0.000 0.984  0.00
La1 0.016 0.500 0.032  -0.10
La2 0.754 0.000 0.507  -0.16

=====

(4)
Below is a crystal of BiP2PbO relaxed with PBEsol, with properties calculated at the meta-GGA SCAN level.

calculated volume	115.2	Å³/cell
ΔE_f (raw)	2.64	eV/f.u.

Cell lengths 4.175, 5.253, 5.253 Å; angles 90.00, 90.00, 90.00 degrees
Last column: magnetic moment on the atom in μB.
Sites, in units of the cell vectors:
Pb1 0.500 0.500 0.500  -0.02
P1 0.000 0.000 0.500  0.26
P2 0.000 0.500 0.000  0.26
Bi1 0.000 0.000 0.000  -0.01
O1 0.500 0.000 0.000  0.08

=====

(5)
Below is a crystal of ScCoBr2 relaxed with PBEsol, with properties calculated at the meta-GGA SCAN level.

calculated volume	85.7	Å³/cell
offset from the most stable computed form	0.00	eV per formula unit
ΔE_f (raw)	-2.70	eV/f.u.

Cell lengths 3.819, 3.819, 7.131 Å; angles 74.47, 74.47, 60.00 degrees
Sites, in units of the cell vectors:
Br1 0.980 0.980 0.061
Br2 0.801 0.801 0.596
Co1 0.492 0.492 0.524
Sc1 0.227 0.227 0.319

=====

(6)
Below is a crystal of AlTcIr2 relaxed with PBEsol, with properties calculated at the meta-GGA SCAN level.

calculated volume	55.6	Å³/cell
energy relative to the elements	-0.371	eV per atom

Cell lengths 2.839, 4.367, 5.184 Å; angles 114.91, 105.89, 90.00 degrees
Sites, in units of the cell vectors:
Ir1 0.972 0.972 0.945
Ir2 0.757 0.257 0.513
Tc1 0.520 0.520 0.040
Al1 0.251 0.751 0.502

=====

(7)
Below is a crystal of Sr2YIn relaxed with PBEsol, with properties calculated at the meta-GGA SCAN level.

calculated volume	146.0	Å³/cell
energy relative to the elements	-0.005	eV per atom

Cell lengths 3.807, 3.807, 11.834 Å; angles 80.74, 80.74, 60.00 degrees
Last column: magnetic moment on the atom in μB.
Sites, in units of the cell vectors:
In1 0.000 0.000 0.000  -0.04
Sr1 0.259 0.259 0.224  0.01
Sr2 0.741 0.741 0.776  0.01
Y1 0.500 0.500 0.500  0.38

=====

(8)
Below is a crystal of YTa4 relaxed with PBEsol, with properties calculated at the meta-GGA SCAN level.

calculated volume	105.3	Å³/cell
energy relative to the elements	0.477	eV per atom

Cell lengths 4.067, 4.067, 6.987 Å; angles 106.92, 106.92, 90.00 degrees
Sites, in units of the cell vectors:
Ta1 0.750 0.250 0.500
Ta2 0.396 0.396 0.792
Ta3 0.604 0.604 0.208
Ta4 0.250 0.750 0.500
Y1 0.000 0.000 0.000